Record 1
La2TlZn after structural relaxation, computed with PBE-GGA.

abc: 5.415 5.415 5.415
angles: 60.00 60.00 60.00
Sites, in units of the cell vectors:
La  0.000  0.000  0.000
La  0.250  0.250  0.250
Tl  0.500  0.500  0.500
Zn  0.750  0.750  0.750

Values from the calculation:
The calculation puts the volume at 112.3 Å³/cell. The formation energy is 0.06 eV/atom. The space group is F-43m. Its energy above the most stable polymorph in this dataset is 1.72 eV per formula unit. The calculation puts the total DFT energy (no corrections) at -3.31 eV per atom.


Record 2
La8Tl2Zn after structural relaxation, computed with PBE-GGA.

abc: 5.421 7.060 10.284
angles: 106.96 105.28 90.00
Sites, in units of the cell vectors:
La  0.589  0.461  0.178
La  0.345  0.013  0.689
La  0.208  0.302  0.416
La  0.008  0.774  0.016
La  0.792  0.698  0.584
La  0.655  0.987  0.311
La  0.411  0.539  0.822
La  0.992  0.226  0.984
Tl  0.174  0.734  0.348
Tl  0.826  0.266  0.652
Zn  0.500  0.000  0.000

Values from the calculation:
The calculation puts the volume at 361.9 Å³/cell. The formation energy is -0.20 eV/atom. The space group is C2/m. The calculation puts the total DFT energy (no corrections) at -4.33 eV per atom.


Record 3
LaTlZn after structural relaxation, computed with PBE-GGA.

abc: 4.861 4.861 3.876
angles: 90.00 90.00 120.00
Sites, in units of the cell vectors:
Tl  0.333  0.667  0.498
Zn  0.667  0.333  0.502
La  0.000  0.000  0.000

Values from the calculation:
The calculation puts the volume at 79.3 Å³/cell. The formation energy is -0.35 eV/atom. The space group is P3m1. The calculation puts the total DFT energy (no corrections) at -3.20 eV per atom.


Record 4
LaTlZn after structural relaxation, computed with PBE-GGA.

abc: 3.831 7.001 6.635
angles: 89.97 90.00 74.10
Sites, in units of the cell vectors:
Zn  0.100  0.806  0.831
Zn  0.100  0.806  0.221
Tl  0.953  0.093  0.526
Tl  0.730  0.544  0.026
La  0.715  0.578  0.526
La  0.435  0.136  0.026

Values from the calculation:
The calculation puts the volume at 171.2 Å³/cell. The formation energy is -0.21 eV/atom. The space group is Pm. The calculation puts the total DFT energy (no corrections) at -3.07 eV per atom.


Record 5
LaTlZn3 after structural relaxation, computed with PBE-GGA.

abc: 5.778 5.778 5.778
angles: 90.00 90.00 90.00
Sites, in units of the cell vectors:
Tl  0.500  0.500  0.500
Zn  0.000  0.500  0.000
Zn  0.000  0.000  0.500
Zn  0.500  0.000  0.000
La  0.000  0.000  0.000

Values from the calculation:
The calculation puts the volume at 192.9 Å³/cell. The formation energy is 0.74 eV/atom. The space group is Pm-3m. Its energy above the most stable polymorph in this dataset is 2.12 eV per formula unit. The calculation puts the total DFT energy (no corrections) at -1.48 eV per atom.


Record 6
La2Tl2Zn after structural relaxation, computed with PBE-GGA.

abc: 4.263 4.263 9.166
angles: 76.55 76.55 90.00
Sites, in units of the cell vectors:
Tl  0.750  0.250  0.500
Tl  0.250  0.750  0.500
Zn  0.000  0.000  0.000
La  0.410  0.410  0.180
La  0.590  0.590  0.820

Values from the calculation:
The calculation puts the volume at 157.3 Å³/cell. The formation energy is -0.02 eV/atom. The space group is I4/mmm. Its energy above the most stable polymorph in this dataset is 1.77 eV per formula unit. The calculation puts the total DFT energy (no corrections) at -3.19 eV per atom.


Record 7
La2TlZn after structural relaxation, computed with PBE-GGA.

abc: 5.308 5.308 6.774
angles: 77.60 77.60 43.10
Sites, in units of the cell vectors:
La  0.995  0.995  0.019
La  0.505  0.505  0.481
Tl  0.750  0.750  0.750
Zn  0.250  0.250  0.250

Values from the calculation:
The calculation puts the volume at 126.9 Å³/cell. The formation energy is -0.17 eV/atom. The space group is C2/m. Its energy above the most stable polymorph in this dataset is 0.79 eV per formula unit. The calculation puts the total DFT energy (no corrections) at -3.55 eV per atom.


Record 8
La7Tl2Zn2 after structural relaxation, computed with PBE-GGA.

abc: 7.184 7.599 7.184
angles: 90.02 109.81 89.98
Sites, in units of the cell vectors:
La  0.000  0.286  0.500
La  0.500  0.714  0.000
La  0.000  0.714  0.500
La  0.500  0.286  0.000
La  0.000  0.000  0.000
La  0.500  0.766  0.500
La  0.500  0.234  0.500
Tl  0.823  0.500  0.823
Tl  0.177  0.500  0.177
Zn  0.719  0.000  0.281
Zn  0.281  0.000  0.719

Values from the calculation:
The calculation puts the volume at 368.9 Å³/cell. The formation energy is -0.07 eV/atom. The space group is Cmmm. The calculation puts the total DFT energy (no corrections) at -3.87 eV per atom.


Record 9
La4Tl5Zn after structural relaxation, computed with PBE-GGA.

abc: 5.429 6.758 8.920
angles: 103.80 107.72 90.00
Sites, in units of the cell vectors:
La  0.689  0.319  0.378
La  0.090  0.833  0.180
La  0.311  0.681  0.622
La  0.910  0.167  0.820
Tl  0.288  0.169  0.577
Tl  0.101  0.354  0.202
Tl  0.899  0.646  0.798
Tl  0.500  0.500  0.000
Tl  0.712  0.831  0.423
Zn  0.500  0.000  0.000

Values from the calculation:
The calculation puts the volume at 301.8 Å³/cell. The formation energy is -0.34 eV/atom. The space group is C2/m. The calculation puts the total DFT energy (no corrections) at -3.63 eV per atom.


Record 10
LaTlZn after structural relaxation, computed with PBE-GGA.

abc: 5.118 4.750 6.832
angles: 110.35 90.00 90.00
Sites, in units of the cell vectors:
Zn  0.594  0.291  0.634
Zn  0.094  0.773  0.599
Tl  0.594  0.933  0.917
Tl  0.094  0.132  0.316
La  0.594  0.642  0.334
La  0.094  0.423  0.899

Values from the calculation:
The calculation puts the volume at 155.7 Å³/cell. The formation energy is -0.33 eV/atom. The space group is Cmcm. The calculation puts the total DFT energy (no corrections) at -3.19 eV per atom.


Record 11
La5TlZn2 after structural relaxation, computed with PBE-GGA.

abc: 7.942 7.942 9.681
angles: 114.22 114.22 90.00
Sites, in units of the cell vectors:
La  0.516  0.688  0.704
La  0.812  0.984  0.296
La  0.000  0.000  0.000
La  0.500  0.500  0.000
La  0.188  0.016  0.704
La  0.688  0.188  0.704
La  0.016  0.516  0.704
La  0.312  0.812  0.296
La  0.984  0.484  0.296
La  0.484  0.312  0.296
Tl  0.750  0.750  0.500
Tl  0.250  0.250  0.500
Zn  0.120  0.380  0.000
Zn  0.620  0.120  0.000
Zn  0.380  0.880  0.000
Zn  0.880  0.620  0.000

Values from the calculation:
The calculation puts the volume at 497.4 Å³/cell. The formation energy is -0.24 eV/atom. The space group is I4/mcm. The calculation puts the total DFT energy (no corrections) at -3.94 eV per atom.


Record 12
La3TlZn2 after structural relaxation, computed with PBE-GGA.

abc: 3.786 3.786 11.807
angles: 90.00 90.00 90.00
Sites, in units of the cell vectors:
La  0.000  0.000  0.000
La  0.000  0.000  0.688
La  0.000  0.000  0.312
Tl  0.500  0.500  0.500
Zn  0.500  0.500  0.846
Zn  0.500  0.500  0.154

Values from the calculation:
The calculation puts the volume at 169.3 Å³/cell. The formation energy is -0.35 eV/atom. The space group is P4/mmm. Its energy above the most stable polymorph in this dataset is 0.00 eV per formula unit. The calculation puts the total DFT energy (no corrections) at -3.63 eV per atom.